1.
VASP calculation (GGA-PBE) on crystalline MgAlRuPt at its relaxed geometry.

Lattice parameters (Å, degrees): 4.341 4.341 4.341 60.00 60.00 60.00
Positions (direct):
Mg (0.000, 0.000, 0.000)
Al (0.500, 0.500, 0.500)
Ru (0.250, 0.250, 0.250)
Pt (0.750, 0.750, 0.750)

## Properties
DOS(E_F)   0.51 states/eV per atom
V   14.46 Å³ per atom
Crystal system   cubic
Space group   No. 216
Energy relative to the elements   -0.704 eV/atom



2.
VASP calculation (GGA-PBE) on crystalline MgSc2Al2Pt5 at its relaxed geometry.

Lattice parameters (Å, degrees): 9.491 9.491 3.713 90.00 90.00 90.00
Positions (direct):
Mg (0.000, 0.000, 0.000)
Mg (0.500, 0.500, 0.000)
Sc (0.174, 0.326, 0.000)
Sc (0.326, 0.826, 0.000)
Sc (0.674, 0.174, 0.000)
Sc (0.826, 0.674, 0.000)
Al (0.125, 0.625, 0.000)
Al (0.375, 0.125, 0.000)
Al (0.625, 0.875, 0.000)
Al (0.875, 0.375, 0.000)
Pt (0.000, 0.500, 0.500)
Pt (0.070, 0.794, 0.500)
Pt (0.206, 0.070, 0.500)
Pt (0.294, 0.570, 0.500)
Pt (0.430, 0.294, 0.500)
Pt (0.500, 0.000, 0.500)
Pt (0.570, 0.706, 0.500)
Pt (0.706, 0.430, 0.500)
Pt (0.794, 0.930, 0.500)
Pt (0.930, 0.206, 0.500)

## Properties
DOS(E_F)   0.32 states/eV per atom
V   16.73 Å³ per atom
Crystal system   tetragonal
Space group   No. 127
Energy relative to the elements   -0.992 eV/atom



3.
VASP calculation (GGA-PBE) on crystalline MgScAl2Pt2 at its relaxed geometry.

Lattice parameters (Å, degrees): 4.416 4.416 5.980 90.00 90.00 120.00
Positions (direct):
Mg (0.000, 0.000, 0.000)
Sc (0.000, 0.000, 0.500)
Al (0.333, 0.667, 0.228)
Al (0.667, 0.333, 0.772)
Pt (0.333, 0.667, 0.755)
Pt (0.667, 0.333, 0.245)

## Properties
DOS(E_F)   0.48 states/eV per atom
V   16.84 Å³ per atom
Crystal system   trigonal
Space group   No. 164
Energy relative to the elements   -0.966 eV/atom



4.
VASP calculation (GGA-PBE) on crystalline Mg2AlSi2Pt5 at its relaxed geometry.

Lattice parameters (Å, degrees): 9.852 9.852 3.283 90.00 90.00 90.00
Positions (direct):
Mg (0.173, 0.327, 0.000)
Mg (0.327, 0.827, 0.000)
Mg (0.673, 0.173, 0.000)
Mg (0.827, 0.673, 0.000)
Al (0.000, 0.000, 0.000)
Al (0.500, 0.500, 0.000)
Si (0.133, 0.633, 0.000)
Si (0.367, 0.133, 0.000)
Si (0.633, 0.867, 0.000)
Si (0.867, 0.367, 0.000)
Pt (0.000, 0.500, 0.500)
Pt (0.038, 0.792, 0.500)
Pt (0.208, 0.038, 0.500)
Pt (0.292, 0.538, 0.500)
Pt (0.462, 0.292, 0.500)
Pt (0.500, 0.000, 0.500)
Pt (0.538, 0.708, 0.500)
Pt (0.708, 0.462, 0.500)
Pt (0.792, 0.962, 0.500)
Pt (0.962, 0.208, 0.500)

## Properties
DOS(E_F)   0.29 states/eV per atom
V   15.93 Å³ per atom
Crystal system   tetragonal
Space group   No. 127
Raw total energy   -110.8 eV per cell